[1]
Ac8CdOs2 PBE relaxed; SG = No. 8; Fermi-level density of states = 13.4 states/eV per cell; energy of formation = 0.01 eV/atom
1.0
-2.616 3.277 -4.552
-6.266 -5.762 0.919
-0.100 6.152 5.953
Ac Cd Os
8 1 2
direct
0.575 0.336 0.073 Ac
0.575 0.073 0.336 Ac
0.211 0.394 0.394 Ac
0.000 0.251 0.754 Ac
0.000 0.754 0.251 Ac
0.790 0.613 0.613 Ac
0.425 0.932 0.669 Ac
0.425 0.669 0.932 Ac
0.000 0.004 0.004 Cd
0.500 0.701 0.305 Os
0.500 0.305 0.701 Os

[2]
FeRh2Br PBE relaxed; formation energy (no corrections) = 0.53 eV per atom; SG = No. 65; Fermi-level density of states = 3.2 states/eV per cell; polymorph energy (0 for the lowest one) = 0.236 eV per atom
1.0
-1.607 4.266 -0.039
-1.175 -1.153 -4.251
-2.646 -0.988 0.999
Br Fe Rh
1 1 2
direct
0.500 0.000 0.500 Br
0.000 0.500 0.500 Fe
0.000 0.000 0.000 Rh
0.500 0.500 0.000 Rh